# CdPtRhO6

Crystalline CdPtRhO6 at its relaxed geometry (PBE, Alexandria).

Cell and atoms, written as POSCAR:
```
CdPtRhO6
1.0
5.268 0.000 0.000
-2.634 4.562 0.000
0.000 0.000 9.554
Cd Pt Rh O
2 2 2 12
direct
0.000 0.000 0.000
0.000 0.000 0.500
0.333 0.667 0.250
0.667 0.333 0.750
0.333 0.667 0.750
0.667 0.333 0.250
0.003 0.368 0.638
0.003 0.635 0.862
0.365 0.368 0.862
0.365 0.997 0.638
0.368 0.003 0.138
0.368 0.365 0.362
0.632 0.635 0.638
0.632 0.997 0.862
0.635 0.003 0.362
0.635 0.632 0.138
0.997 0.365 0.138
0.997 0.632 0.362
```

Calculated values
Electronic total energy, eV per atom: -5.47
Raw formation energy, eV per atom: -0.579
SG: P-31c

# Cd2RuPtO6

Crystalline Cd2RuPtO6 at its relaxed geometry (PBE, Alexandria).

Cell and atoms, written as POSCAR:
```
Cd2RuPtO6
1.0
5.523 0.000 0.000
0.000 5.523 0.000
0.000 0.000 4.369
Cd Ru Pt O
2 1 1 6
direct
0.000 0.500 0.000
0.500 0.000 0.000
0.000 0.000 0.567
0.500 0.500 0.605
0.000 0.000 0.152
0.241 0.241 0.687
0.241 0.759 0.687
0.500 0.500 0.127
0.759 0.241 0.687
0.759 0.759 0.687
```

Calculated values
Electronic total energy, eV per atom: -5.20
Raw formation energy, eV per atom: -0.515
SG: P4mm

# ScCdPtO4

Crystalline ScCdPtO4 at its relaxed geometry (PBE, Alexandria).

Cell and atoms, written as POSCAR:
```
ScCdPtO4
1.0
-3.249 3.509 4.069
3.249 -3.509 4.069
3.249 3.509 -4.069
Sc Cd Pt O
2 2 2 8
direct
0.500 0.000 0.000
0.500 0.500 0.500
0.102 0.352 0.750
0.898 0.648 0.250
0.000 0.000 0.000
0.500 0.000 0.500
0.239 0.190 0.450
0.239 0.789 0.050
0.298 0.749 0.549
0.301 0.251 0.049
0.699 0.749 0.951
0.702 0.251 0.451
0.761 0.211 0.950
0.761 0.810 0.550
```

Calculated values
Electronic total energy, eV per atom: -6.34
Raw formation energy, eV per atom: -1.610
SG: Imma

# CdSnPtO6

Crystalline CdSnPtO6 at its relaxed geometry (PBE, Alexandria).

Cell and atoms, written as POSCAR:
```
CdSnPtO6
1.0
5.403 0.000 0.000
-2.701 4.679 0.000
0.000 0.000 9.439
Cd Sn Pt O
2 2 2 12
direct
0.000 0.000 0.000
0.000 0.000 0.500
0.333 0.667 0.250
0.667 0.333 0.750
0.333 0.667 0.750
0.667 0.333 0.250
0.016 0.371 0.635
0.016 0.645 0.865
0.355 0.371 0.865
0.355 0.984 0.635
0.371 0.016 0.135
0.371 0.355 0.365
0.629 0.645 0.635
0.629 0.984 0.865
0.645 0.016 0.365
0.645 0.629 0.135
0.984 0.355 0.135
0.984 0.629 0.365
```

Calculated values
Electronic total energy, eV per atom: -5.36
Raw formation energy, eV per atom: -0.839
SG: P-31c

# SrCd2PtO5

Crystalline SrCd2PtO5 at its relaxed geometry (PBE, Alexandria).

Cell and atoms, written as POSCAR:
```
SrCd2PtO5
1.0
-1.955 2.819 5.732
1.955 -2.819 5.732
1.955 2.819 -5.732
Sr Cd Pt O
1 2 1 5
direct
0.000 0.000 0.000
0.287 0.787 0.500
0.713 0.213 0.500
0.500 0.500 0.000
0.123 0.368 0.755
0.387 0.632 0.755
0.500 0.000 0.500
0.613 0.368 0.245
0.877 0.632 0.245
```

Calculated values
Electronic total energy, eV per atom: -4.94
Raw formation energy, eV per atom: -1.122
SG: Immm

# Cd2TePtO6

Crystalline Cd2TePtO6 at its relaxed geometry (PBE, Alexandria).

Cell and atoms, written as POSCAR:
```
Cd2TePtO6
1.0
5.727 0.000 0.000
0.000 5.727 0.000
0.000 0.000 4.400
Cd Te Pt O
2 1 1 6
direct
0.000 0.500 0.000
0.500 0.000 0.000
0.000 0.000 0.605
0.500 0.500 0.647
0.000 0.000 0.175
0.251 0.251 0.709
0.251 0.749 0.709
0.500 0.500 0.153
0.749 0.251 0.709
0.749 0.749 0.709
```

Calculated values
Electronic total energy, eV per atom: -4.65
Raw formation energy, eV per atom: -0.573
SG: P4mm

# Ti2CdPtO8

Crystalline Ti2CdPtO8 at its relaxed geometry (PBE, Alexandria).

Cell and atoms, written as POSCAR:
```
Ti2CdPtO8
1.0
4.692 0.000 0.000
0.000 6.371 0.000
-0.094 0.000 4.711
Ti Cd Pt O
2 1 1 8
direct
0.000 0.237 0.000
0.000 0.763 0.000
0.500 0.000 0.500
0.500 0.500 0.500
0.179 0.000 0.826
0.207 0.500 0.797
0.285 0.282 0.289
0.285 0.718 0.289
0.715 0.282 0.711
0.715 0.718 0.711
0.793 0.500 0.203
0.821 0.000 0.174
```

Calculated values
Electronic total energy, eV per atom: -6.89
Raw formation energy, eV per atom: -1.689
SG: P2/m

# TiCdPtO6

Crystalline TiCdPtO6 at its relaxed geometry (PBE, Alexandria).

Cell and atoms, written as POSCAR:
```
TiCdPtO6
1.0
5.220 0.000 0.000
-2.610 4.521 0.000
0.000 0.000 9.619
Ti Cd Pt O
2 2 2 12
direct
0.333 0.667 0.250
0.667 0.333 0.750
0.000 0.000 0.000
0.000 0.000 0.500
0.333 0.667 0.750
0.667 0.333 0.250
0.001 0.365 0.139
0.001 0.636 0.361
0.364 0.365 0.361
0.364 0.999 0.139
0.365 0.001 0.639
0.365 0.364 0.861
0.635 0.636 0.139
0.635 0.999 0.361
0.636 0.001 0.861
0.636 0.635 0.639
0.999 0.364 0.639
0.999 0.635 0.861
```

Calculated values
Electronic total energy, eV per atom: -6.26
Raw formation energy, eV per atom: -1.302
SG: P-31c

# Tl2CdPtO6

Crystalline Tl2CdPtO6 at its relaxed geometry (PBE, Alexandria).

Cell and atoms, written as POSCAR:
```
Tl2CdPtO6
1.0
5.577 0.000 0.000
0.000 5.704 0.000
-5.554 0.000 8.507
Tl Cd Pt O
4 2 2 12
direct
0.218 0.050 0.244
0.218 0.450 0.744
0.782 0.550 0.256
0.782 0.950 0.756
0.000 0.000 0.500
0.000 0.500 0.000
0.500 0.000 0.000
0.500 0.500 0.500
0.150 0.195 0.928
0.150 0.305 0.428
0.228 0.725 0.913
0.228 0.775 0.413
0.418 0.078 0.782
0.418 0.422 0.282
0.582 0.578 0.718
0.582 0.922 0.218
0.772 0.225 0.587
0.772 0.275 0.087
0.850 0.695 0.572
0.850 0.805 0.072
```

Calculated values
Electronic total energy, eV per atom: -4.85
Raw formation energy, eV per atom: -0.705
SG: P2_1/c

# TmCdPtO6

Crystalline TmCdPtO6 at its relaxed geometry (PBE, Alexandria).

Cell and atoms, written as POSCAR:
```
TmCdPtO6
1.0
5.560 0.000 0.000
-2.780 4.815 0.000
0.000 0.000 8.971
Tm Cd Pt O
2 2 2 12
direct
0.333 0.667 0.250
0.667 0.333 0.750
0.000 0.000 0.000
0.000 0.000 0.500
0.333 0.667 0.750
0.667 0.333 0.250
0.034 0.378 0.628
0.034 0.655 0.872
0.345 0.378 0.872
0.345 0.966 0.628
0.378 0.034 0.128
0.378 0.345 0.372
0.622 0.655 0.628
0.622 0.966 0.872
0.655 0.034 0.372
0.655 0.622 0.128
0.966 0.345 0.128
0.966 0.622 0.372
```

Calculated values
Electronic total energy, eV per atom: -5.78
Raw formation energy, eV per atom: -1.208
SG: P-31c

Repeat the fifth record exactly.
# SrCd2PtO5

Crystalline SrCd2PtO5 at its relaxed geometry (PBE, Alexandria).

Cell and atoms, written as POSCAR:
```
SrCd2PtO5
1.0
-1.955 2.819 5.732
1.955 -2.819 5.732
1.955 2.819 -5.732
Sr Cd Pt O
1 2 1 5
direct
0.000 0.000 0.000
0.287 0.787 0.500
0.713 0.213 0.500
0.500 0.500 0.000
0.123 0.368 0.755
0.387 0.632 0.755
0.500 0.000 0.500
0.613 0.368 0.245
0.877 0.632 0.245
```

Calculated values
Electronic total energy, eV per atom: -4.94
Raw formation energy, eV per atom: -1.122
SG: Immm

Q: What is the formula in the third record?
A: ScCdPtO4

Q: Look up the electronic total energy of the fourth one.
A: -5.36 eV per atom